[1]
{
  "formula": "KCo2CuAs",
  "functional": "GGA-PBE",
  "state": "optimized geometry",
  "sg": "P4/mmm",
  "formation_enthalpy_0k_ev_per_atom": 0.52,
  "total_energy_ev_per_cell": -21.48,
  "lattice": [[-3.720, 2.490, 0.942], [-2.267, -3.924, 1.419], [1.522, 0.662, 4.262]],
  "species": ["As", "K", "Co", "Co", "Cu"],
  "frac_coords": [[0.000, 0.000, 0.000], [0.500, 0.500, 0.500], [0.000, 0.000, 0.500], [0.500, 0.000, 0.000], [0.000, 0.500, 0.000]]
}

***

[2]
{
  "formula": "La2CoCu3As4",
  "functional": "GGA-PBE",
  "state": "optimized geometry",
  "sg": "P-4m2",
  "formation_enthalpy_0k_ev_per_atom": -0.65,
  "total_energy_ev_per_cell": -54.31,
  "lattice": [[-3.179, 0.101, 2.907], [0.124, -4.298, 0.285], [6.622, 0.669, 7.218]],
  "species": ["Cu", "Cu", "Cu", "As", "As", "As", "As", "La", "La", "Co"],
  "frac_coords": [[0.500, 0.000, 0.872], [0.000, 0.500, 0.128], [0.000, 0.000, 0.500], [0.500, 0.500, 0.000], [0.000, 0.000, 0.000], [0.500, 0.000, 0.624], [0.000, 0.500, 0.376], [0.500, 0.000, 0.259], [0.000, 0.500, 0.741], [0.500, 0.500, 0.500]]
}

***

[3]
{
  "formula": "La2Co3CuAs4",
  "functional": "GGA-PBE",
  "state": "optimized geometry",
  "sg": "P-4m2",
  "formation_enthalpy_0k_ev_per_atom": -0.75,
  "total_energy_ev_per_cell": -61.37,
  "lattice": [[-2.307, 3.319, 1.285], [-3.250, -1.341, -2.372], [-3.273, -5.136, 7.390]],
  "species": ["As", "As", "As", "As", "Co", "Co", "Co", "La", "La", "Cu"],
  "frac_coords": [[0.000, 0.500, 0.362], [0.500, 0.500, 0.000], [0.000, 0.000, 0.000], [0.500, 0.000, 0.638], [0.000, 0.000, 0.500], [0.000, 0.500, 0.112], [0.500, 0.000, 0.888], [0.000, 0.500, 0.754], [0.500, 0.000, 0.246], [0.500, 0.500, 0.500]]
}

***

[4]
{
  "formula": "LiCo2CuAs",
  "functional": "GGA-PBE",
  "state": "optimized geometry",
  "sg": "P4/mmm",
  "formation_enthalpy_0k_ev_per_atom": 0.55,
  "total_energy_ev_per_cell": -22.10,
  "lattice": [[4.329, 0.000, 0.000], [0.000, 4.470, 0.000], [0.000, 0.000, 4.329]],
  "species": ["Co", "Co", "Li", "Cu", "As"],
  "frac_coords": [[0.000, 0.000, 0.500], [0.500, 0.000, 0.000], [0.000, 0.500, 0.000], [0.500, 0.500, 0.500], [0.000, 0.000, 0.000]]
}

***

[5]
{
  "formula": "MnCoCuAs",
  "functional": "GGA-PBE",
  "state": "optimized geometry",
  "sg": "F-43m",
  "formation_enthalpy_0k_ev_per_atom": 0.06,
  "total_energy_ev_per_cell": -24.79,
  "lattice": [[4.156, 0.000, 0.000], [2.078, 3.599, 0.000], [2.078, 1.200, 3.393]],
  "species": ["As", "Co", "Mn", "Cu"],
  "frac_coords": [[0.750, 0.750, 0.750], [0.000, 0.000, 0.000], [0.500, 0.500, 0.500], [0.250, 0.250, 0.250]]
}

***

[6]
{
  "formula": "Mn2CoCuAs",
  "functional": "GGA-PBE",
  "state": "optimized geometry",
  "sg": "P4/mmm",
  "formation_enthalpy_0k_ev_per_atom": 1.02,
  "total_energy_ev_per_cell": -29.07,
  "lattice": [[4.601, 0.000, 0.000], [0.000, 4.325, 0.000], [0.000, 0.000, 4.601]],
  "species": ["Mn", "Mn", "Co", "As", "Cu"],
  "frac_coords": [[0.000, 0.000, 0.500], [0.500, 0.000, 0.000], [0.500, 0.500, 0.500], [0.000, 0.500, 0.000], [0.000, 0.000, 0.000]]
}

***

[7]
{
  "formula": "CoCuNiAs",
  "functional": "GGA-PBE",
  "state": "optimized geometry",
  "sg": "F-43m",
  "formation_enthalpy_0k_ev_per_atom": -0.02,
  "total_energy_ev_per_cell": -21.70,
  "lattice": [[-2.802, 1.157, -2.723], [-3.959, -0.185, 0.947], [-2.117, 3.432, 0.588]],
  "species": ["As", "Cu", "Ni", "Co"],
  "frac_coords": [[0.250, 0.250, 0.250], [0.750, 0.750, 0.750], [0.000, 0.000, 0.000], [0.500, 0.500, 0.500]]
}

***

[8]
{
  "formula": "CoCuNi2As",
  "functional": "GGA-PBE",
  "state": "optimized geometry",
  "sg": "P4/mmm",
  "formation_enthalpy_0k_ev_per_atom": 1.04,
  "total_energy_ev_per_cell": -22.22,
  "lattice": [[-1.027, 3.563, 2.178], [-3.690, 0.245, -2.141], [-1.910, -2.396, 3.018]],
  "species": ["Ni", "Ni", "As", "Cu", "Co"],
  "frac_coords": [[0.500, 0.000, 0.000], [0.000, 0.000, 0.500], [0.500, 0.500, 0.500], [0.000, 0.000, 0.000], [0.000, 0.500, 0.000]]
}

***

Copy entry 6 word for word.
{
  "formula": "Mn2CoCuAs",
  "functional": "GGA-PBE",
  "state": "optimized geometry",
  "sg": "P4/mmm",
  "formation_enthalpy_0k_ev_per_atom": 1.02,
  "total_energy_ev_per_cell": -29.07,
  "lattice": [[4.601, 0.000, 0.000], [0.000, 4.325, 0.000], [0.000, 0.000, 4.601]],
  "species": ["Mn", "Mn", "Co", "As", "Cu"],
  "frac_coords": [[0.000, 0.000, 0.500], [0.500, 0.000, 0.000], [0.500, 0.500, 0.500], [0.000, 0.500, 0.000], [0.000, 0.000, 0.000]]
}